Computed, not measured: a relaxed IO2F4 crystal at the GGA-PBE level of DFT.

Results
The total DFT energy (no corrections) comes out at -25.76 eV per formula unit. The calculation puts the total moment at 1.891 μB/f.u. The energy relative to the elements, uncorrected comes out at -0.973 eV/atom. As for the theoretical density: 2.7 g cm⁻³.

CIF file:
```
data_IO2F4
_chemical_formula_sum 'I1 O2 F4'
_cell_length_a 4.0343
_cell_length_b 4.5337
_cell_length_c 8.0061
_cell_angle_alpha 77.35
_cell_angle_beta 87.20
_cell_angle_gamma 85.59
_symmetry_space_group_name_H-M 'P 1'
_symmetry_Int_Tables_number 1
loop_
_symmetry_equiv_pos_as_xyz
'x,y,z'
loop_
_atom_site_label
_atom_site_type_symbol
_atom_site_fract_x
_atom_site_fract_y
_atom_site_fract_z
_atom_site_occupancy
I1 I 0.0000 0.0000 0.0000 1
O1 O 0.3930 0.1044 0.4917 1
O2 O 0.6070 0.8956 0.5083 1
F1 F 0.0760 0.7260 0.8377 1
F2 F 0.3861 0.7886 0.1373 1
F3 F 0.6139 0.2114 0.8627 1
F4 F 0.9240 0.2740 0.1623 1
```